SiBMo: optimized geometry, GGA-PBE.

Calculated values
Total DFT energy (no corrections) ... -7.78 eV per atom
V ... 68.48 Å³ per cell
DOS(E_F) ... 2.14 states/eV/cell
M_tot ... 0.0 μB/f.u.
Density ... 6.54 g/cm³

abc: 3.040 4.222 5.337
angles: 90.70 90.00 90.00
Atoms (fractional coordinates):
Mo 0.250 0.627 0.726
Mo 0.750 0.373 0.274
Si 0.750 0.129 0.836
Si 0.250 0.871 0.164
B 0.750 0.875 0.461
B 0.250 0.125 0.539